1.
The following is a PBE calculation of an optimized crystal structure of PuMnAlGa, from the Alexandria database.

abc: 4.672 4.672 4.672
angles: 60.00 60.00 60.00
Each line ends with the local moment (μB).
Atoms (fractional coordinates):
Mn: 0.250 0.250 0.250  -3.25
Al: 0.000 0.000 0.000  -0.01
Ga: 0.750 0.750 0.750  0.00
Pu: 0.500 0.500 0.500  5.01


2.
The following is a PBE calculation of an optimized crystal structure of Pu2MnAlGa6, from the Alexandria database.

abc: 6.287 6.287 11.902
angles: 74.69 74.69 60.00
Each line ends with the local moment (μB).
Atoms (fractional coordinates):
Pu: 0.890 0.890 0.329  5.37
Pu: 0.110 0.110 0.671  5.37
Pu: 0.717 0.717 0.849  5.32
Pu: 0.283 0.283 0.151  5.32
Mn: 0.000 0.000 0.000  2.00
Mn: 0.500 0.500 0.500  1.11
Al: 0.573 0.573 0.282  -0.02
Al: 0.427 0.427 0.718  -0.02
Ga: 0.930 0.333 0.405  -0.03
Ga: 0.333 0.930 0.405  -0.03
Ga: 0.333 0.333 0.405  -0.03
Ga: 0.070 0.667 0.595  -0.03
Ga: 0.667 0.070 0.595  -0.03
Ga: 0.667 0.667 0.595  -0.03
Ga: 0.654 0.223 0.899  -0.02
Ga: 0.223 0.654 0.899  -0.02
Ga: 0.223 0.223 0.899  -0.02
Ga: 0.346 0.777 0.101  -0.02
Ga: 0.777 0.346 0.101  -0.02
Ga: 0.777 0.777 0.101  -0.02


3.
The following is a PBE calculation of an optimized crystal structure of MnAlGaRh2, from the Alexandria database.

abc: 4.443 4.488 4.443
angles: 90.00 90.00 90.00
Each line ends with the local moment (μB).
Atoms (fractional coordinates):
Mn: 0.000 0.500 0.000  -3.37
Rh: 0.000 0.000 0.500  -0.12
Rh: 0.500 0.000 0.000  -0.12
Al: 0.000 0.000 0.000  0.05
Ga: 0.500 0.500 0.500  0.08


Number 1: E_form -78 meV per atom. Number 2: E_form -180 meV per atom. Number 3: E_form 503 meV per atom.